Material: MnSbRu2
Method: DFT, GGA-PBE
State: relaxed

Cell: 3.179 3.179 6.119 Å, 90.00 90.00 90.00°
Fractional positions:
Mn 0.000 0.000 0.000
Sb 0.000 0.000 0.500
Ru 0.500 0.500 0.245
Ru 0.500 0.500 0.755

- D(E_F) (states/eV per cell) = 3.77
- symmetry = No. 123
- calculated density (g/cm3) = 10.2
- formation energy without anion corrections (eV/atom) = 0.06